# ErLuCd6

Crystalline ErLuCd6 at its relaxed geometry (PBE, OQMD).

Unit cell a=4.811 b=7.162 c=10.601 alpha=90.00 beta=90.00 gamma=90.00
Space group Amm2 (No. 38)
Symmetry-distinct sites (fractional):
Er1 0.000 0.000 0.000
Lu1 0.500 0.000 0.738
Cd1 0.000 0.000 0.546
Cd2 0.000 0.216 0.273
Cd3 0.500 0.000 0.192
Cd4 0.500 0.216 0.465

Computed properties:
The value obtained for the calculated volume is 22.8 Å³/atom. The energy of formation from the pure elements is -0.26 eV/atom. The density is 9.24 Mg/m³. For the raw total energy, the calculation gives -33.06 eV for the cell shown. The crystal system is orthorhombic.